#P
First-principles (PBE) data for a geometry-optimized KCdSN2 structure, as listed in Alexandria.

* magnetization: 4.65 μB per formula unit
* SG: P4/mmm
* DOS(E_F): 2.32 states/eV/f.u.

Lattice parameters (Å, degrees): 4.6215 4.6215 5.2373 90.00 90.00 90.00
Fractional coordinates of all 5 atoms:
K 0.5000 0.5000 0.5000
N 0.0000 0.5000 0.0000
N 0.5000 0.0000 0.0000
S 0.0000 0.0000 0.5000
Cd 0.0000 0.0000 0.0000

#Q
First-principles (PBE) data for a geometry-optimized KCdSN2 structure, as listed in Alexandria.

* magnetization: 5.39 μB per formula unit
* SG: P4/mmm
* DOS(E_F): 1.74 states/eV/f.u.

Lattice parameters (Å, degrees): 4.8311 4.8311 6.1213 90.00 90.00 90.00
Fractional coordinates of all 5 atoms:
K 0.0000 0.0000 0.0000
N 0.0000 0.5000 0.0000
N 0.5000 0.0000 0.0000
S 0.0000 0.0000 0.5000
Cd 0.5000 0.5000 0.5000

Energy above the most stable structure, in meV/atom: #P 0; #Q 803

#P
First-principles (PBE) data for a geometry-optimized KCdS2N structure, as listed in Alexandria.

* magnetization: 4.27 μB per formula unit
* SG: P4/mmm
* DOS(E_F): 3.88 states/eV/f.u.

Lattice parameters (Å, degrees): 5.6444 5.6444 4.8907 90.00 90.00 90.00
Fractional coordinates of all 5 atoms:
K 0.0000 0.0000 0.0000
N 0.0000 0.0000 0.5000
S 0.0000 0.5000 0.0000
S 0.5000 0.0000 0.0000
Cd 0.5000 0.5000 0.5000

#Q
First-principles (PBE) data for a geometry-optimized KCdS2N structure, as listed in Alexandria.

* magnetization: 3.25 μB per formula unit
* SG: P4/mmm
* DOS(E_F): 4.36 states/eV/f.u.

Lattice parameters (Å, degrees): 5.1705 5.1705 4.6006 90.00 90.00 90.00
Fractional coordinates of all 5 atoms:
K 0.5000 0.5000 0.5000
N 0.0000 0.0000 0.5000
S 0.0000 0.5000 0.0000
S 0.5000 0.0000 0.0000
Cd 0.0000 0.0000 0.0000

Energy above the most stable structure, in meV/atom: #P 902; #Q 0

#P
First-principles (PBE) data for a geometry-optimized KCdSeN2 structure, as listed in Alexandria.

* magnetization: 4.80 μB per formula unit
* SG: P4/mmm
* DOS(E_F): 2.16 states/eV/f.u.

Lattice parameters (Å, degrees): 4.6724 4.6724 5.4960 90.00 90.00 90.00
Fractional coordinates of all 5 atoms:
K 0.5000 0.5000 0.5000
N 0.0000 0.5000 0.0000
N 0.5000 0.0000 0.0000
Se 0.0000 0.0000 0.5000
Cd 0.0000 0.0000 0.0000

#Q
First-principles (PBE) data for a geometry-optimized KCdSeN2 structure, as listed in Alexandria.

* magnetization: 5.38 μB per formula unit
* SG: P4/mmm
* DOS(E_F): 1.92 states/eV/f.u.

Lattice parameters (Å, degrees): 4.8404 4.8404 6.4395 90.00 90.00 90.00
Fractional coordinates of all 5 atoms:
K 0.0000 0.0000 0.0000
N 0.0000 0.5000 0.0000
N 0.5000 0.0000 0.0000
Se 0.0000 0.0000 0.5000
Cd 0.5000 0.5000 0.5000

Energy above the most stable structure, in meV/atom: #P 0; #Q 717

#P
First-principles (PBE) data for a geometry-optimized KNa6Cd structure, as listed in Alexandria.

* magnetization: 0.00 μB per formula unit
* SG: P4/mmm
* DOS(E_F): 3.72 states/eV/f.u.

Lattice parameters (Å, degrees): 5.3721 5.3721 10.2025 90.00 90.00 90.00
Fractional coordinates of all 8 atoms:
K 0.0000 0.0000 0.0000
Na 0.5000 0.5000 0.0000
Na 0.5000 0.5000 0.5000
Na 0.5000 0.0000 0.2917
Na 0.5000 0.0000 0.7083
Na 0.0000 0.5000 0.2917
Na 0.0000 0.5000 0.7083
Cd 0.0000 0.0000 0.5000

#Q
First-principles (PBE) data for a geometry-optimized KNa6Cd structure, as listed in Alexandria.

* magnetization: 0.00 μB per formula unit
* SG: Amm2
* DOS(E_F): 2.82 states/eV/f.u.

Lattice parameters (Å, degrees): 6.0204 7.5134 7.5134 120.03 90.00 90.00
Fractional coordinates of all 8 atoms:
K 0.5000 0.4155 0.5845
Na 0.0000 0.0660 0.4072
Na 0.0000 0.5928 0.9340
Na 0.0000 0.5916 0.4084
Na 0.5000 0.3956 0.0741
Na 0.5000 0.9259 0.6044
Na 0.5000 0.9274 0.0726
Cd 0.0000 0.0849 0.9151

Energy above the most stable structure, in meV/atom: #P 0; #Q 8

#P
First-principles (PBE) data for a geometry-optimized K2Na3Cd structure, as listed in Alexandria.

* magnetization: 0.00 μB per formula unit
* SG: Immm
* DOS(E_F): 3.37 states/eV/f.u.

Lattice parameters (Å, degrees): 5.5522 6.7151 8.5963 112.99 108.84 90.00
Fractional coordinates of all 6 atoms:
K 0.7144 0.2144 0.4288
K 0.2856 0.7856 0.5712
Na 0.3948 0.3948 0.7895
Na 0.0000 0.0000 0.0000
Na 0.6052 0.6052 0.2105
Cd 0.0000 0.5000 0.0000

#Q
First-principles (PBE) data for a geometry-optimized K2Na3Cd structure, as listed in Alexandria.

* magnetization: 0.00 μB per formula unit
* SG: C2/m
* DOS(E_F): 3.03 states/eV/f.u.

Lattice parameters (Å, degrees): 7.0651 7.0651 7.0593 89.72 120.90 119.45
Fractional coordinates of all 6 atoms:
K 0.7441 0.3721 0.1162
K 0.2559 0.6279 0.8838
Na 0.5000 0.5000 0.5000
Na 0.0000 0.0000 0.5000
Na 0.5000 0.0000 0.5000
Cd 0.0000 0.0000 0.0000

Energy above the most stable structure, in meV/atom: #P 92; #Q 0

#P
First-principles (PBE) data for a geometry-optimized KNaCd2 structure, as listed in Alexandria.

* magnetization: 0.00 μB per formula unit
* SG: P2_1/m
* DOS(E_F): 1.70 states/eV/f.u.

Lattice parameters (Å, degrees): 5.2232 7.0014 8.5796 90.00 90.00 112.14
Fractional coordinates of all 8 atoms:
K 0.4314 0.8630 0.7500
K 0.5686 0.1370 0.2500
Na 0.8624 0.7245 0.2500
Na 0.1376 0.2755 0.7500
Cd 0.2546 0.5090 0.4190
Cd 0.7454 0.4910 0.5810
Cd 0.2546 0.5090 0.0810
Cd 0.7454 0.4910 0.9190

#Q
First-principles (PBE) data for a geometry-optimized KNaCd2 structure, as listed in Alexandria.

* magnetization: 0.00 μB per formula unit
* SG: R-3m
* DOS(E_F): 2.80 states/eV/f.u.

Lattice parameters (Å, degrees): 3.6826 3.6826 11.3827 80.69 80.69 60.00
Fractional coordinates of all 4 atoms:
Na 0.0000 0.0000 0.0000
K 0.5000 0.5000 0.5000
Cd 0.7441 0.7441 0.7678
Cd 0.2559 0.2559 0.2322

#R
First-principles (PBE) data for a geometry-optimized KNaCd2 structure, as listed in Alexandria.

* magnetization: 0.00 μB per formula unit
* SG: Fm-3m
* DOS(E_F): 2.98 states/eV/f.u.

Lattice parameters (Å, degrees): 5.7254 5.7254 5.7254 60.00 60.00 60.00
Fractional coordinates of all 4 atoms:
Na 0.0000 0.0000 0.0000
K 0.5000 0.5000 0.5000
Cd 0.2500 0.2500 0.2500
Cd 0.7500 0.7500 0.7500

Energy above the most stable structure, in meV/atom: #P 0; #Q 119; #R 53

#P
First-principles (PBE) data for a geometry-optimized KNaCd2 structure, as listed in Alexandria.

* magnetization: 0.00 μB per formula unit
* SG: P4/mmm
* DOS(E_F): 1.57 states/eV/f.u.

Lattice parameters (Å, degrees): 4.7962 5.2409 5.2409 90.00 90.00 90.00
Fractional coordinates of all 4 atoms:
Na 0.5000 0.0000 0.0000
K 0.5000 0.5000 0.5000
Cd 0.0000 0.0000 0.5000
Cd 0.0000 0.5000 0.0000

#Q
First-principles (PBE) data for a geometry-optimized KNaCd2 structure, as listed in Alexandria.

* magnetization: 0.00 μB per formula unit
* SG: I-42d
* DOS(E_F): 2.01 states/eV/f.u.

Lattice parameters (Å, degrees): 5.5016 5.5016 11.6982 76.40 76.40 90.00
Fractional coordinates of all 8 atoms:
Na 0.5000 0.5000 0.0000
Na 0.2500 0.7500 0.5000
K 0.0000 0.0000 0.0000
K 0.7500 0.2500 0.5000
Cd 0.4542 0.1250 0.2500
Cd 0.2958 0.6250 0.2500
Cd 0.3750 0.5458 0.7500
Cd 0.8750 0.7042 0.7500

Energy above the most stable structure, in meV/atom: #P 0; #Q 69

#P
First-principles (PBE) data for a geometry-optimized KNa9Cd2 structure, as listed in Alexandria.

* magnetization: 0.00 μB per formula unit
* SG: I4_1/amd
* DOS(E_F): 5.87 states/eV/f.u.

Lattice parameters (Å, degrees): 8.8750 10.8266 10.8266 80.33 65.80 65.80
Fractional coordinates of all 24 atoms:
K 0.5000 0.0000 0.0000
K 0.2500 0.5000 0.5000
Na 0.7500 0.5000 0.5000
Na 0.0000 0.0000 0.0000
Na 0.0105 0.9252 0.6808
Na 0.6166 0.0748 0.3192
Na 0.6857 0.1808 0.5748
Na 0.4414 0.8192 0.4252
Na 0.7395 0.8192 0.5748
Na 0.1334 0.1808 0.4252
Na 0.0643 0.9252 0.3192
Na 0.3086 0.0748 0.6808
Na 0.7395 0.5748 0.8192
Na 0.1334 0.4252 0.1808
Na 0.0643 0.3192 0.9252
Na 0.3086 0.6808 0.0748
Na 0.0105 0.6808 0.9252
Na 0.6166 0.3192 0.0748
Na 0.6857 0.5748 0.1808
Na 0.4414 0.4252 0.8192
Cd 0.8750 0.2500 0.7500
Cd 0.8750 0.7500 0.2500
Cd 0.8750 0.2500 0.2500
Cd 0.3750 0.7500 0.7500

#Q
First-principles (PBE) data for a geometry-optimized KNa9Cd2 structure, as listed in Alexandria.

* magnetization: 0.00 μB per formula unit
* SG: P6/mmm
* DOS(E_F): 6.99 states/eV/f.u.

Lattice parameters (Å, degrees): 3.5601 11.6857 11.6857 120.00 90.00 90.00
Fractional coordinates of all 12 atoms:
K 0.0000 0.0000 0.0000
Na 0.5000 0.8100 0.1900
Na 0.0000 0.0000 0.5000
Na 0.0000 0.5000 0.5000
Na 0.5000 0.8100 0.6201
Na 0.5000 0.1900 0.8100
Na 0.5000 0.6201 0.8100
Na 0.5000 0.1900 0.3799
Na 0.0000 0.5000 0.0000
Na 0.5000 0.3799 0.1900
Cd 0.0000 0.6667 0.3333
Cd 0.0000 0.3333 0.6667

Energy above the most stable structure, in meV/atom: #P 0; #Q 13

#P
First-principles (PBE) data for a geometry-optimized K4Na2Cd structure, as listed in Alexandria.

* magnetization: 0.00 μB per formula unit
* SG: P-1
* DOS(E_F): 3.51 states/eV/f.u.

Lattice parameters (Å, degrees): 7.9445 9.4892 11.8604 72.82 69.37 61.59
Fractional coordinates of all 14 atoms:
K 0.7835 0.1379 0.8595
K 0.7878 0.6122 0.3906
K 0.2892 0.0631 0.9305
K 0.8097 0.1452 0.2541
K 0.3327 0.6561 0.7779
K 0.2825 0.6865 0.3194
K 0.7622 0.6040 0.9960
K 0.2388 0.0935 0.4723
Na 0.0265 0.4528 0.6744
Na 0.5443 0.2981 0.5755
Na 0.2859 0.3751 0.1250
Na 0.7858 0.8754 0.6250
Cd 0.5641 0.9589 0.1637
Cd 0.0071 0.7912 0.0861

#Q
First-principles (PBE) data for a geometry-optimized K4Na2Cd structure, as listed in Alexandria.

* magnetization: 0.00 μB per formula unit
* SG: I4/mmm
* DOS(E_F): 6.37 states/eV/f.u.

Lattice parameters (Å, degrees): 6.7534 6.7534 10.7438 71.68 71.68 90.00
Fractional coordinates of all 7 atoms:
Na 0.6109 0.6109 0.7783
Na 0.3891 0.3891 0.2217
K 0.8133 0.8133 0.3733
K 0.1867 0.1867 0.6267
K 0.0000 0.5000 0.0000
K 0.5000 0.0000 0.0000
Cd 0.0000 0.0000 0.0000

Energy above the most stable structure, in meV/atom: #P 0; #Q 108

#P
First-principles (PBE) data for a geometry-optimized KNa3Cd2 structure, as listed in Alexandria.

* magnetization: 0.00 μB per formula unit
* SG: P2_1/m
* DOS(E_F): 3.16 states/eV/f.u.

Lattice parameters (Å, degrees): 6.3233 8.2006 8.0028 93.57 90.00 90.00
Fractional coordinates of all 12 atoms:
K 0.2500 0.1138 0.6164
K 0.7500 0.8862 0.3836
Na 0.7500 0.4237 0.5756
Na 0.7500 0.5466 0.0511
Na 0.2500 0.5763 0.4244
Na 0.7500 0.0751 0.9208
Na 0.2500 0.9249 0.0792
Na 0.2500 0.4534 0.9489
Cd 0.4989 0.2598 0.2375
Cd 0.0011 0.2598 0.2375
Cd 0.9989 0.7402 0.7625
Cd 0.5011 0.7402 0.7625

#Q
First-principles (PBE) data for a geometry-optimized KNa3Cd2 structure, as listed in Alexandria.

* magnetization: 0.00 μB per formula unit
* SG: P6_3/mmc
* DOS(E_F): 2.84 states/eV/f.u.

Lattice parameters (Å, degrees): 5.6630 5.6630 14.5422 90.00 90.00 120.00
Fractional coordinates of all 12 atoms:
K 0.0000 0.0000 0.2500
K 0.0000 0.0000 0.7500
Na 0.0000 0.0000 0.5000
Na 0.0000 0.0000 0.0000
Na 0.6667 0.3333 0.5870
Na 0.3333 0.6667 0.0870
Na 0.6667 0.3333 0.9130
Na 0.3333 0.6667 0.4130
Cd 0.6667 0.3333 0.3583
Cd 0.3333 0.6667 0.6417
Cd 0.3333 0.6667 0.8583
Cd 0.6667 0.3333 0.1417

Energy above the most stable structure, in meV/atom: #P 0; #Q 24

#P
First-principles (PBE) data for a geometry-optimized K3Na4Cd structure, as listed in Alexandria.

* magnetization: 0.00 μB per formula unit
* SG: Pmmn
* DOS(E_F): 4.49 states/eV/f.u.

Lattice parameters (Å, degrees): 7.8706 7.1022 13.8108 90.00 90.00 90.00
Fractional coordinates of all 16 atoms:
Na 0.3618 0.5000 0.8509
Na 0.3618 0.5000 0.1491
Na 0.0344 0.2523 0.0000
Na 0.0344 0.7477 0.0000
Na 0.9656 0.7523 0.5000
Na 0.9656 0.2477 0.5000
Na 0.6382 0.0000 0.3509
Na 0.6382 0.0000 0.6491
K 0.5596 0.0000 0.0000
K 0.4404 0.5000 0.5000
K 0.8329 0.5000 0.7550
K 0.8329 0.5000 0.2450
K 0.1671 0.0000 0.7450
K 0.1671 0.0000 0.2550
Cd 0.6805 0.5000 0.0000
Cd 0.3195 0.0000 0.5000

#Q
First-principles (PBE) data for a geometry-optimized K3Na4Cd structure, as listed in Alexandria.

* magnetization: 0.00 μB per formula unit
* SG: Pmn2_1
* DOS(E_F): 3.88 states/eV/f.u.

Lattice parameters (Å, degrees): 7.2006 8.3574 12.1904 90.00 90.00 90.00
Fractional coordinates of all 16 atoms:
K 0.5008 0.5148 0.0000
K 0.0023 0.6770 0.1942
K 0.5023 0.3230 0.3058
K 0.0008 0.4852 0.5000
K 0.5023 0.3230 0.6942
K 0.0023 0.6770 0.8058
Na 0.2646 0.0291 0.0000
Na 0.7394 0.0279 0.0000
Na 0.0027 0.1518 0.2393
Na 0.5027 0.8482 0.2607
Na 0.2394 0.9721 0.5000
Na 0.7646 0.9709 0.5000
Na 0.5027 0.8482 0.7393
Na 0.0027 0.1518 0.7607
Cd 0.0004 0.3477 0.0000
Cd 0.5004 0.6523 0.5000

Energy above the most stable structure, in meV/atom: #P 17; #Q 0